## one
ZrIrPd2: optimized geometry, GGA-PBE.

Lattice parameters (Å, degrees): 6.4358 6.4358 6.4358 90.00 90.00 90.00
Space group Fm-3m (No. 225)
Symmetry-distinct sites (fractional):
Zr  0.0000  0.0000  0.0000 (multiplicity 4)
Ir  0.0000  0.0000  0.5000 (multiplicity 4)
Pd  0.2500  0.2500  0.2500 (multiplicity 8)

Results
For the magnetization, the calculation gives 0.000 μB per atom. As for the crystal system: cubic.

## two
ZrIrPd2: optimized geometry, GGA-PBE.

Lattice parameters (Å, degrees): 3.9776 3.9776 4.0965 90.00 90.00 90.00
Space group P4/mmm (No. 123)
Symmetry-distinct sites (fractional):
Zr  0.0000  0.0000  0.0000 (multiplicity 1)
Ir  0.5000  0.5000  0.0000 (multiplicity 1)
Pd  0.0000  0.5000  0.5000 (multiplicity 2)

Results
For the magnetization, the calculation gives 0.000 μB per atom. As for the crystal system: tetragonal.

Order from most stable to least stable according to the calculation: two, one

## one
ZrIr2Pd2: optimized geometry, GGA-PBE.

Lattice parameters (Å, degrees): 6.8609 6.8609 3.6330 90.00 90.00 90.00
Space group P4/mbm (No. 127)
Symmetry-distinct sites (fractional):
Zr  0.0000  0.0000  0.0000 (multiplicity 2)
Ir  0.1321  0.3679  0.0000 (multiplicity 4)
Pd  0.1652  0.6652  0.5000 (multiplicity 4)

Results
For the magnetization, the calculation gives 0.000 μB per atom. As for the crystal system: tetragonal.

## two
ZrIr2Pd2: optimized geometry, GGA-PBE.

Lattice parameters (Å, degrees): 3.7460 3.7460 12.5206 90.00 90.00 90.00
Space group I4/mmm (No. 139)
Symmetry-distinct sites (fractional):
Zr  0.0000  0.0000  0.0000 (multiplicity 2)
Ir  0.0000  0.0000  0.4041 (multiplicity 4)
Pd  0.0000  0.5000  0.2500 (multiplicity 4)

Results
For the magnetization, the calculation gives 0.000 μB per atom. As for the crystal system: tetragonal.

Order from most stable to least stable according to the calculation: two, one

## one
Zr3IrPd: optimized geometry, GGA-PBE.

Lattice parameters (Å, degrees): 5.0282 5.0282 5.0282 90.00 90.00 90.00
Space group Pm-3m (No. 221)
Symmetry-distinct sites (fractional):
Zr  0.0000  0.0000  0.5000 (multiplicity 3)
Ir  0.0000  0.0000  0.0000 (multiplicity 1)
Pd  0.5000  0.5000  0.5000 (multiplicity 1)

Results
For the magnetization, the calculation gives 0.000 μB per atom. As for the crystal system: cubic.

## two
Zr3IrPd: optimized geometry, GGA-PBE.

Lattice parameters (Å, degrees): 4.7609 17.0252 4.7717 90.00 90.00 90.00
Space group Cmcm (No. 63)
Symmetry-distinct sites (fractional):
Zr  0.0000  0.0582  0.2500 (multiplicity 4)
Zr  0.0000  0.2497  0.2500 (multiplicity 4)
Zr  0.0000  0.4412  0.2500 (multiplicity 4)
Ir  0.0000  0.1589  0.7500 (multiplicity 4)
Pd  0.0000  0.3484  0.7500 (multiplicity 4)

Results
For the magnetization, the calculation gives 0.000 μB per atom. As for the crystal system: orthorhombic.

Order from most stable to least stable according to the calculation: two, one